Record 1
Crystalline Cu7SiAu12 at its relaxed geometry, computed with PBE.

Cell: 7.277 7.277 7.277 Å, 106.47 106.47 106.47°
Fractional positions:
Au (0.597, 0.967, 0.710)
Cu (0.983, 0.091, 0.687)
Cu (0.500, 0.500, 0.500)
Si (0.000, 0.000, 0.000)
Cu (0.687, 0.983, 0.091)
Au (0.338, 0.643, 0.779)
Au (0.967, 0.710, 0.597)
Au (0.710, 0.597, 0.967)
Cu (0.017, 0.909, 0.313)
Cu (0.313, 0.017, 0.909)
Au (0.221, 0.662, 0.357)
Au (0.357, 0.221, 0.662)
Au (0.033, 0.290, 0.403)
Au (0.662, 0.357, 0.221)
Au (0.643, 0.779, 0.338)
Au (0.779, 0.338, 0.643)
Cu (0.091, 0.687, 0.983)
Au (0.403, 0.033, 0.290)
Au (0.290, 0.403, 0.033)
Cu (0.909, 0.313, 0.017)

---

Record 2
Crystalline Cu5SiAu at its relaxed geometry, computed with PBE.

Cell: 4.730 4.730 9.884 Å, 90.66 90.66 58.29°
Fractional positions:
Cu (0.761, 0.732, 0.675)
Cu (0.337, 0.310, 0.570)
Au (0.000, 0.000, 0.500)
Cu (0.732, 0.761, 0.175)
Au (0.000, 0.000, 0.000)
Cu (0.743, 0.257, 0.250)
Si (0.755, 0.245, 0.750)
Cu (0.690, 0.663, 0.930)
Cu (0.663, 0.690, 0.430)
Cu (0.257, 0.743, 0.750)
Cu (0.239, 0.268, 0.325)
Cu (0.310, 0.337, 0.070)
Si (0.245, 0.755, 0.250)
Cu (0.268, 0.239, 0.825)

Calculated values
polymorph energy (0 for the lowest one)	0.000	eV per atom

---

Record 3
Crystalline CuSiAu6 at its relaxed geometry, computed with PBE.

Cell: 6.400 6.415 5.494 Å, 53.99 54.54 59.85°
Fractional positions:
Si (0.000, 0.000, 0.000)
Au (0.243, 0.989, 0.240)
Au (0.757, 0.011, 0.760)
Au (0.471, 0.757, 0.760)
Cu (0.500, 0.500, 0.500)
Au (0.013, 0.472, 0.759)
Au (0.987, 0.528, 0.241)
Au (0.529, 0.243, 0.240)

---

Record 4
Crystalline CuSiAu2 at its relaxed geometry, computed with PBE.

Cell: 4.497 4.497 4.796 Å, 77.90 77.90 43.47°
Fractional positions:
Au (0.500, 0.500, 0.499)
Si (0.250, 0.250, 0.250)
Au (0.000, 0.000, 0.001)
Cu (0.750, 0.750, 0.750)

---

Record 5
Crystalline CuSi2Au at its relaxed geometry, computed with PBE.

Cell: 3.917 3.937 3.937 Å, 90.00 90.00 90.00°
Fractional positions:
Au (0.500, 0.500, 0.000)
Cu (0.500, 0.000, 0.500)
Si (0.000, 0.500, 0.500)
Si (0.000, 0.000, 0.000)

Calculated values
polymorph energy (0 for the lowest one)	0.264	eV per atom

---

Record 6
Crystalline SmCu2SiAu4 at its relaxed geometry, computed with PBE.

Cell: 4.447 4.447 8.940 Å, 75.60 75.60 60.00°
Fractional positions:
Au (0.132, 0.132, 0.604)
Au (0.398, 0.398, 0.805)
Cu (0.756, 0.756, 0.732)
Si (0.500, 0.500, 0.500)
Au (0.868, 0.868, 0.396)
Au (0.602, 0.602, 0.195)
Sm (0.000, 0.000, 0.000)
Cu (0.244, 0.244, 0.268)

---

Record 7
Crystalline SmCuSi2Au at its relaxed geometry, computed with PBE.

Cell: 4.162 4.162 5.897 Å, 110.66 110.66 90.00°
Fractional positions:
Si (0.385, 0.385, 0.770)
Si (0.615, 0.615, 0.230)
Sm (0.000, 0.000, 0.000)
Au (0.250, 0.750, 0.500)
Cu (0.750, 0.250, 0.500)

---

Record 8
Crystalline Sr2CuSiAu6 at its relaxed geometry, computed with PBE.

Cell: 6.635 7.161 7.131 Å, 56.10 62.02 89.79°
Fractional positions:
Au (0.754, 0.251, 0.924)
Au (0.249, 0.313, 0.503)
Sr (0.779, 0.219, 0.439)
Au (0.683, 0.751, 0.068)
Sr (0.221, 0.781, 0.561)
Au (0.317, 0.249, 0.932)
Au (0.751, 0.687, 0.497)
Si (0.000, 0.000, 0.000)
Au (0.246, 0.749, 0.076)
Cu (0.500, 0.500, 0.000)

---

Record 9
Crystalline Sr2CuSi3Au12 at its relaxed geometry, computed with PBE.

Cell: 8.182 8.182 8.182 Å, 65.53 65.53 65.53°
Fractional positions:
Au (0.118, 0.118, 0.642)
Si (0.500, 0.000, 0.000)
Sr (0.389, 0.389, 0.389)
Cu (0.000, 0.000, 0.000)
Au (0.329, 0.329, 0.874)
Sr (0.611, 0.611, 0.611)
Au (0.671, 0.126, 0.671)
Si (0.000, 0.500, 0.000)
Au (0.874, 0.329, 0.329)
Au (0.882, 0.358, 0.882)
Au (0.358, 0.882, 0.882)
Au (0.118, 0.642, 0.118)
Au (0.642, 0.118, 0.118)
Si (0.000, 0.000, 0.500)
Au (0.882, 0.882, 0.358)
Au (0.329, 0.874, 0.329)
Au (0.671, 0.671, 0.126)
Au (0.126, 0.671, 0.671)

---

Record 10
Crystalline SrCuSiAu2 at its relaxed geometry, computed with PBE.

Cell: 4.972 4.972 4.551 Å, 90.00 90.00 90.00°
Fractional positions:
Au (0.500, 0.000, 0.000)
Cu (0.000, 0.000, 0.500)
Au (0.000, 0.500, 0.000)
Si (0.000, 0.000, 0.000)
Sr (0.500, 0.500, 0.500)

---

Record 11
Crystalline SrCuSi2Au at its relaxed geometry, computed with PBE.

Cell: 4.317 4.317 5.933 Å, 111.34 111.34 90.00°
Fractional positions:
Sr (0.000, 0.000, 0.000)
Si (0.382, 0.382, 0.765)
Cu (0.750, 0.250, 0.500)
Au (0.250, 0.750, 0.500)
Si (0.618, 0.618, 0.235)

---

Record 12
Crystalline SrCuSi2Au8 at its relaxed geometry, computed with PBE.

Cell: 5.769 5.769 8.780 Å, 76.57 76.57 72.69°
Fractional positions:
Au (0.702, 0.702, 0.015)
Sr (0.000, 0.000, 0.500)
Au (0.649, 0.649, 0.514)
Au (0.353, 0.763, 0.802)
Au (0.351, 0.351, 0.486)
Au (0.647, 0.237, 0.198)
Au (0.298, 0.298, 0.985)
Au (0.763, 0.353, 0.802)
Si (0.793, 0.793, 0.244)
Cu (0.000, 0.000, 0.000)
Au (0.237, 0.647, 0.198)
Si (0.207, 0.207, 0.756)

---

Record 13
Crystalline SrCu2SiAu4 at its relaxed geometry, computed with PBE.

Cell: 4.456 4.456 9.414 Å, 76.31 76.31 60.00°
Fractional positions:
Cu (0.241, 0.241, 0.278)
Au (0.406, 0.406, 0.782)
Au (0.865, 0.865, 0.404)
Au (0.594, 0.594, 0.218)
Sr (0.000, 0.000, 0.000)
Cu (0.759, 0.759, 0.722)
Si (0.500, 0.500, 0.500)
Au (0.135, 0.135, 0.596)

---

Record 14
Crystalline TbCuSi2Au at its relaxed geometry, computed with PBE.

Cell: 4.121 4.121 5.878 Å, 110.52 110.52 90.00°
Fractional positions:
Cu (0.250, 0.750, 0.500)
Si (0.614, 0.614, 0.228)
Tb (0.000, 0.000, 0.000)
Au (0.750, 0.250, 0.500)
Si (0.386, 0.386, 0.772)

---

Record 15
Crystalline Tb2CuSi4Au3 at its relaxed geometry, computed with PBE.

Cell: 4.104 4.104 10.872 Å, 90.00 90.00 90.00°
Fractional positions:
Tb (0.500, 0.000, 0.270)
Si (0.000, 0.500, 0.369)
Au (0.500, 0.000, 0.856)
Au (0.000, 0.000, 0.500)
Si (0.500, 0.500, 0.000)
Tb (0.000, 0.500, 0.730)
Au (0.000, 0.500, 0.144)
Cu (0.500, 0.500, 0.500)
Si (0.500, 0.000, 0.631)
Si (0.000, 0.000, 0.000)

---

Record 16
Crystalline Cu2SiTcAu at its relaxed geometry, computed with PBE.

Cell: 4.673 4.494 4.673 Å, 90.00 90.00 90.00°
Fractional positions:
Tc (0.000, 0.000, 0.000)
Au (0.500, 0.500, 0.500)
Si (0.000, 0.500, 0.000)
Cu (0.500, 0.000, 0.000)
Cu (0.000, 0.000, 0.500)

---

Record 17
Crystalline CuSiTc2Au at its relaxed geometry, computed with PBE.

Cell: 4.625 4.150 4.625 Å, 90.00 90.00 90.00°
Last column: magnetic moment on the atom in μB.
Fractional positions:
Si (0.000, 0.500, 0.000)  -0.06
Tc (0.000, 0.000, 0.500)  1.86
Au (0.500, 0.500, 0.500)  0.07
Tc (0.500, 0.000, 0.000)  1.67
Cu (0.000, 0.000, 0.000)  0.12

---

Record 18
Crystalline CuSi2Te6Au at its relaxed geometry, computed with PBE.

Cell: 6.517 10.079 10.079 Å, 90.41 74.13 74.13°
Fractional positions:
Te (0.098, 0.980, 0.824)
Te (0.598, 0.824, 0.980)
Au (0.750, 0.219, 0.781)
Te (0.395, 0.901, 0.403)
Si (0.740, 0.213, 0.375)
Cu (0.250, 0.202, 0.798)
Te (0.468, 0.559, 0.698)
Si (0.240, 0.375, 0.213)
Te (0.968, 0.698, 0.559)
Te (0.895, 0.403, 0.901)
Te (0.032, 0.302, 0.441)
Te (0.532, 0.441, 0.302)
Te (0.105, 0.597, 0.099)
Si (0.260, 0.787, 0.625)
Te (0.605, 0.099, 0.597)
Si (0.760, 0.625, 0.787)
Te (0.402, 0.176, 0.020)
Te (0.902, 0.020, 0.176)
Cu (0.750, 0.798, 0.202)
Au (0.250, 0.781, 0.219)

---

Record 19
Crystalline Cu2SiTe4Au at its relaxed geometry, computed with PBE.

Cell: 6.097 6.097 7.339 Å, 114.52 114.52 90.06°
Fractional positions:
Si (0.500, 0.500, 0.000)
Te (0.871, 0.392, 0.263)
Cu (0.750, 0.250, 0.500)
Te (0.392, 0.871, 0.263)
Au (0.000, 0.000, 0.000)
Cu (0.250, 0.750, 0.500)
Te (0.130, 0.130, 0.737)
Te (0.608, 0.608, 0.737)

---

Record 20
Crystalline TlCuSiAu6 at its relaxed geometry, computed with PBE.

Cell: 7.147 9.068 7.985 Å, 124.60 116.59 90.00°
Fractional positions:
Au (0.075, 0.373, 0.746)
Au (0.925, 0.627, 0.254)
Tl (0.279, 0.529, 0.558)
Cu (0.000, 0.000, 0.500)
Au (0.329, 0.627, 0.254)
Au (0.925, 0.127, 0.254)
Cu (0.500, 0.000, 0.500)
Au (0.979, 0.229, 0.958)
Au (0.671, 0.373, 0.746)
Au (0.579, 0.829, 0.158)
Tl (0.721, 0.471, 0.442)
Si (0.500, 0.000, 0.000)
Au (0.075, 0.873, 0.746)
Au (0.329, 0.127, 0.254)
Au (0.021, 0.771, 0.042)
Si (0.500, 0.500, 0.000)
Au (0.671, 0.873, 0.746)
Au (0.421, 0.171, 0.842)

---

Summary of uncorrected energy in eV/atom
-3.64; -4.16; -3.57; -3.90; -4.27; -4.15; -5.19; -3.71; -3.59; -3.87; -4.40; -3.71; -3.71; -5.16; -5.01; -4.37; -5.42; -3.65; -3.77; -3.41
(order as listed above)